(1)
The following is a PBE calculation of an optimized crystal structure of DyTh2ScSb5, from Alexandria.

## Properties
energy: -0.195 Ha/atom
calculated volume: 34.71 A^3/atom

Cell and atoms, written as CIF:
```
data_DyTh2ScSb5
_cell_length_a 5.2973
_cell_length_b 5.2973
_cell_length_c 11.1311
_cell_angle_alpha 90.00
_cell_angle_beta 90.00
_cell_angle_gamma 90.00
_symmetry_space_group_name_H-M 'P 4/m m m'
_symmetry_Int_Tables_number 123
_symmetry_space_group_name_Hall '-P 4 2'
loop_
_atom_site_label
_atom_site_type_symbol
_atom_site_fract_x
_atom_site_fract_y
_atom_site_fract_z
Dy1 Dy 0.0000 0.0000 0.0000
Th1 Th 0.5000 0.5000 0.2011
Sc1 Sc 0.0000 0.0000 0.5000
Sb1 Sb 0.0000 0.0000 0.2601
Sb2 Sb 0.0000 0.5000 0.0000
Sb3 Sb 0.5000 0.5000 0.5000
```

(2)
The following is a PBE calculation of an optimized crystal structure of Dy3Tm2ScSb6, from Alexandria.

## Properties
energy: -0.204 Ha/atom
calculated volume: 28.78 A^3/atom

Cell and atoms, written as CIF:
```
data_Dy3Tm2ScSb6
_cell_length_a 18.8829
_cell_length_b 4.3350
_cell_length_c 8.6662
_cell_angle_alpha 90.00
_cell_angle_beta 103.17
_cell_angle_gamma 90.00
_symmetry_space_group_name_H-M 'C 1 2/m 1'
_symmetry_Int_Tables_number 12
loop_
_symmetry_equiv_pos_as_xyz
'x,y,z'
'-x,-y,-z'
'-x,y,-z'
'x,-y,z'
'x+1/2,y+1/2,z'
'-x+1/2,-y+1/2,-z'
'-x+1/2,y+1/2,-z'
'x+1/2,-y+1/2,z'
loop_
_atom_site_label
_atom_site_type_symbol
_atom_site_fract_x
_atom_site_fract_y
_atom_site_fract_z
Dy1 Dy 0.0000 0.0000 0.0000
Dy2 Dy 0.1680 0.5000 0.3340
Tm1 Tm 0.1658 0.5000 0.8324
Sc1 Sc 0.0000 0.0000 0.5000
Sb1 Sb 0.0001 0.5000 0.2599
Sb2 Sb 0.1627 0.0000 0.5833
Sb3 Sb 0.1676 0.0000 0.0814
```

(3)
The following is a PBE calculation of an optimized crystal structure of Dy2TmSc3Sb6, from Alexandria.

## Properties
energy: -0.213 Ha/atom
calculated volume: 27.48 A^3/atom

Cell and atoms, written as CIF:
```
data_Dy2TmSc3Sb6
_cell_length_a 7.3963
_cell_length_b 12.8154
_cell_length_c 7.3813
_cell_angle_alpha 90.00
_cell_angle_beta 109.51
_cell_angle_gamma 90.00
_symmetry_space_group_name_H-M 'C 1 2/m 1'
_symmetry_Int_Tables_number 12
loop_
_symmetry_equiv_pos_as_xyz
'x,y,z'
'-x,-y,-z'
'-x,y,-z'
'x,-y,z'
'x+1/2,y+1/2,z'
'-x+1/2,-y+1/2,-z'
'-x+1/2,y+1/2,-z'
'x+1/2,-y+1/2,z'
loop_
_atom_site_label
_atom_site_type_symbol
_atom_site_fract_x
_atom_site_fract_y
_atom_site_fract_z
Dy1 Dy 0.0000 0.1663 0.0000
Tm1 Tm 0.0000 0.5000 0.0000
Sc1 Sc 0.0000 0.0000 0.5000
Sc2 Sc 0.0000 0.3322 0.5000
Sb1 Sb 0.2429 0.5000 0.7354
Sb2 Sb 0.2466 0.1657 0.7366
```

(4)
The following is a PBE calculation of an optimized crystal structure of DyTmSc2Sb4, from Alexandria.

## Properties
energy: -0.213 Ha/atom
calculated volume: 27.41 A^3/atom

Cell and atoms, written as CIF:
```
data_DyTmSc2Sb4
_cell_length_a 7.3807
_cell_length_b 4.2662
_cell_length_c 7.3867
_cell_angle_alpha 90.00
_cell_angle_beta 109.48
_cell_angle_gamma 90.00
_symmetry_space_group_name_H-M 'P 1 2/m 1'
_symmetry_Int_Tables_number 10
loop_
_symmetry_equiv_pos_as_xyz
'x,y,z'
'-x,-y,-z'
'-x,y,-z'
'x,-y,z'
loop_
_atom_site_label
_atom_site_type_symbol
_atom_site_fract_x
_atom_site_fract_y
_atom_site_fract_z
Dy1 Dy 0.0000 0.0000 0.0000
Tm1 Tm 0.0000 0.5000 0.5000
Sc1 Sc 0.5000 0.0000 0.5000
Sc2 Sc 0.5000 0.5000 0.0000
Sb1 Sb 0.2626 0.0000 0.7526
Sb2 Sb 0.2638 0.5000 0.2561
```

(5)
The following is a PBE calculation of an optimized crystal structure of DySc2USb4, from Alexandria.

## Properties
energy: -0.236 Ha/atom
calculated volume: 27.56 A^3/atom

Cell and atoms, written as CIF:
```
data_DySc2USb4
_cell_length_a 7.3846
_cell_length_b 4.2589
_cell_length_c 7.4244
_cell_angle_alpha 90.00
_cell_angle_beta 109.20
_cell_angle_gamma 90.00
_symmetry_space_group_name_H-M 'P 1 2/m 1'
_symmetry_Int_Tables_number 10
loop_
_symmetry_equiv_pos_as_xyz
'x,y,z'
'-x,-y,-z'
'-x,y,-z'
'x,-y,z'
loop_
_atom_site_label
_atom_site_type_symbol
_atom_site_fract_x
_atom_site_fract_y
_atom_site_fract_z
Dy1 Dy 0.0000 0.0000 0.0000
Sc1 Sc 0.0000 0.5000 0.5000
Sc2 Sc 0.5000 0.0000 0.5000
U1 U 0.5000 0.5000 0.0000
Sb1 Sb 0.2441 0.0000 0.7337
Sb2 Sb 0.2558 0.5000 0.2642
```

(6)
The following is a PBE calculation of an optimized crystal structure of DyYSc2Sb4, from Alexandria.

## Properties
energy: -0.223 Ha/atom
calculated volume: 27.67 A^3/atom

Cell and atoms, written as CIF:
```
data_DyYSc2Sb4
_cell_length_a 7.4005
_cell_length_b 4.2802
_cell_length_c 7.4128
_cell_angle_alpha 90.00
_cell_angle_beta 109.50
_cell_angle_gamma 90.00
_symmetry_space_group_name_H-M 'P 1 2/m 1'
_symmetry_Int_Tables_number 10
loop_
_symmetry_equiv_pos_as_xyz
'x,y,z'
'-x,-y,-z'
'-x,y,-z'
'x,-y,z'
loop_
_atom_site_label
_atom_site_type_symbol
_atom_site_fract_x
_atom_site_fract_y
_atom_site_fract_z
Dy1 Dy 0.0000 0.0000 0.0000
Y1 Y 0.0000 0.5000 0.5000
Sc1 Sc 0.5000 0.0000 0.5000
Sc2 Sc 0.5000 0.5000 0.0000
Sb1 Sb 0.2654 0.0000 0.7553
Sb2 Sb 0.2651 0.5000 0.2548
```

(7)
The following is a PBE calculation of an optimized crystal structure of DyZrSc2Sb4, from Alexandria.

## Properties
energy: -0.227 Ha/atom
calculated volume: 26.31 A^3/atom

Cell and atoms, written as CIF:
```
data_DyZrSc2Sb4
_cell_length_a 7.2675
_cell_length_b 4.2082
_cell_length_c 7.2942
_cell_angle_alpha 90.00
_cell_angle_beta 109.33
_cell_angle_gamma 90.00
_symmetry_space_group_name_H-M 'P 1 2/m 1'
_symmetry_Int_Tables_number 10
loop_
_symmetry_equiv_pos_as_xyz
'x,y,z'
'-x,-y,-z'
'-x,y,-z'
'x,-y,z'
loop_
_atom_site_label
_atom_site_type_symbol
_atom_site_fract_x
_atom_site_fract_y
_atom_site_fract_z
Dy1 Dy 0.0000 0.0000 0.0000
Zr1 Zr 0.0000 0.5000 0.5000
Sc1 Sc 0.5000 0.0000 0.5000
Sc2 Sc 0.5000 0.5000 0.0000
Sb1 Sb 0.2555 0.0000 0.7453
Sb2 Sb 0.2604 0.5000 0.2601
```

(8)
The following is a PBE calculation of an optimized crystal structure of Dy2ZrScSb4, from Alexandria.

## Properties
energy: -0.221 Ha/atom
calculated volume: 27.34 A^3/atom

Cell and atoms, written as CIF:
```
data_Dy2ZrScSb4
_cell_length_a 7.3703
_cell_length_b 4.2574
_cell_length_c 7.3879
_cell_angle_alpha 90.00
_cell_angle_beta 109.34
_cell_angle_gamma 90.00
_symmetry_space_group_name_H-M 'P 1 2/m 1'
_symmetry_Int_Tables_number 10
loop_
_symmetry_equiv_pos_as_xyz
'x,y,z'
'-x,-y,-z'
'-x,y,-z'
'x,-y,z'
loop_
_atom_site_label
_atom_site_type_symbol
_atom_site_fract_x
_atom_site_fract_y
_atom_site_fract_z
Dy1 Dy 0.0000 0.0000 0.0000
Dy2 Dy 0.5000 0.5000 0.0000
Zr1 Zr 0.0000 0.5000 0.5000
Sc1 Sc 0.5000 0.0000 0.5000
Sb1 Sb 0.2460 0.0000 0.7360
Sb2 Sb 0.2553 0.5000 0.2648
```